(w)
BO | PBE | relaxed

abc: 5.565 2.422 2.726
angles: 90.00 90.00 77.96
Element x y z (fractional)
B: 0.139 0.933 0.250
B: 0.861 0.067 0.750
O: 0.260 0.375 0.250
O: 0.740 0.625 0.750

Values from the calculation:
* volume: 8.98 A^3/atom

(x)
BO | PBE | relaxed

abc: 2.451 2.581 3.696
angles: 94.23 91.20 89.97
Element x y z (fractional)
B: 0.233 0.155 0.670
O: 0.738 0.171 0.831

Values from the calculation:
* volume: 11.66 A^3/atom

Of them, (x) has the lowest stability.

(w)
BO | PBE | relaxed

abc: 6.551 6.551 6.551
angles: 90.00 90.00 90.00
Element x y z (fractional)
B: 0.099 0.099 0.099
B: 0.099 0.901 0.901
B: 0.901 0.099 0.901
B: 0.901 0.901 0.099
B: 0.599 0.599 0.599
B: 0.599 0.401 0.401
B: 0.401 0.599 0.401
B: 0.401 0.401 0.599
O: 0.209 0.209 0.209
O: 0.209 0.791 0.791
O: 0.791 0.209 0.791
O: 0.791 0.791 0.209
O: 0.709 0.709 0.709
O: 0.709 0.291 0.291
O: 0.291 0.709 0.291
O: 0.291 0.291 0.709

Values from the calculation:
* volume: 17.57 A^3/atom

(x)
BO | PBE | relaxed

abc: 2.350 7.190 10.771
angles: 90.00 90.00 90.00
Element x y z (fractional)
B: 0.000 0.780 0.625
B: 0.500 0.220 0.875
B: 0.500 0.220 0.125
B: 0.000 0.780 0.375
B: 0.000 0.710 0.000
B: 0.500 0.290 0.500
O: 0.000 0.224 0.808
O: 0.500 0.776 0.692
O: 0.500 0.776 0.308
O: 0.000 0.224 0.192
O: 0.000 0.788 0.500
O: 0.500 0.212 0.000

Values from the calculation:
* volume: 15.16 A^3/atom

Of them, (w) has the lowest stability.

(w)
BOs2O | PBE | relaxed

abc: 4.851 4.851 5.521
angles: 63.94 63.94 90.00
Element x y z (fractional)
B: 0.500 0.500 0.000
B: 0.250 0.750 0.500
Os: 0.627 0.125 0.250
Os: 0.123 0.625 0.250
Os: 0.375 0.373 0.750
Os: 0.875 0.877 0.750
O: 0.000 0.000 0.000
O: 0.750 0.250 0.500

Values from the calculation:
* volume: 12.73 A^3/atom

(x)
BOs2O | PBE | relaxed

abc: 3.889 3.889 3.889
angles: 60.00 60.00 60.00
Element x y z (fractional)
B: 0.000 0.000 0.000
Os: 0.250 0.250 0.250
Os: 0.750 0.750 0.750
O: 0.500 0.500 0.500

Values from the calculation:
* volume: 10.40 A^3/atom

Of them, (x) has the lowest stability.